! MgFeCoNi (GGA-PBE, optimized geometry); values from VASP
&SYSTEM
  ibrav = 0, nat = 16, ntyp = 4
/
ATOMIC_SPECIES
Mg 24.30 Mg.upf
Fe 55.84 Fe.upf
Co 58.93 Co.upf
Ni 58.69 Ni.upf
CELL_PARAMETERS angstrom
5.8461 0.0000 0.0000
0.0000 5.8461 0.0000
0.0000 0.0000 5.8461
ATOMIC_POSITIONS crystal
Mg 0.0000 0.0000 0.0000
Mg 0.0000 0.5000 0.5000
Mg 0.5000 0.0000 0.5000
Mg 0.5000 0.5000 0.0000
Fe 0.0000 0.0000 0.5000
Fe 0.0000 0.5000 0.0000
Fe 0.5000 0.0000 0.0000
Fe 0.5000 0.5000 0.5000
Co 0.2500 0.2500 0.2500
Co 0.2500 0.7500 0.7500
Co 0.7500 0.2500 0.7500
Co 0.7500 0.7500 0.2500
Ni 0.2500 0.2500 0.7500
Ni 0.2500 0.7500 0.2500
Ni 0.7500 0.2500 0.2500
Ni 0.7500 0.7500 0.7500
! Crystal system: cubic
! Energy relative to the elements (eV per atom): -0.003
! SG: F-43m, No. 216